SrCo2Ir after structural relaxation. Source: the Alexandria database, functional GGA-PBEsol.

a b c (Å): 2.781 4.002 6.052
angles (deg): 90.00 103.28 90.00
Fractional coordinates of all 4 atoms:
Sr 0.430 0.500 0.860
Ir 0.109 0.000 0.218
Co 0.779 0.000 0.557
Co 0.679 0.500 0.358

Calculated values
The value obtained for the formation energy is 10.6 kcal/mol of atoms. The calculation puts the raw total energy at -6.325 eV per atom. For the density of states at the Fermi level, the calculation gives 4.6 states/eV/cell.


Fe5Ir after structural relaxation. Source: the Alexandria database, functional GGA-PBEsol.

a b c (Å): 2.518 4.657 5.811
angles (deg): 103.31 90.00 105.68
Fractional coordinates of all 6 atoms:
Ir 0.721 0.443 0.943
Fe 0.998 0.997 0.004
Fe 0.667 0.333 0.340
Fe 0.336 0.671 0.657
Fe 0.392 0.785 0.284
Fe 0.052 0.105 0.604

Calculated values
The value obtained for the formation energy is 0.1 kcal/mol of atoms. The calculation puts the raw total energy at -9.101 eV per atom. For the density of states at the Fermi level, the calculation gives 6.8 states/eV/cell.


WSeCl after structural relaxation. Source: the Alexandria database, functional GGA-PBEsol.

a b c (Å): 4.323 4.323 4.323
angles (deg): 60.00 60.00 60.00
Fractional coordinates of all 3 atoms:
Se 0.250 0.250 0.250
W 0.000 0.000 0.000
Cl 0.500 0.500 0.500

Calculated values
The calculation puts the raw total energy at -5.292 eV per atom. For the formation energy (no corrections), the calculation gives 1263 meV per atom. For the density of states at the Fermi level, the calculation gives 2.5 states/eV/cell.


Li2LaIr after structural relaxation. Source: the Alexandria database, functional GGA-PBEsol.

a b c (Å): 2.837 2.837 10.224
angles (deg): 90.00 90.00 116.19
Fractional coordinates of all 4 atoms:
Ir 0.500 0.500 0.500
La 0.500 0.500 0.000
Li 0.000 0.000 0.305
Li 0.000 0.000 0.695

Calculated values
The value obtained for the formation energy is 6.5 kcal/mol of atoms. The calculation puts the raw total energy at -4.496 eV per atom. For the density of states at the Fermi level, the calculation gives 3.9 states/eV/cell.


CuPbBr after structural relaxation. Source: the Alexandria database, functional GGA-PBEsol.

a b c (Å): 4.733 4.733 4.733
angles (deg): 60.00 60.00 60.00
Fractional coordinates of all 3 atoms:
Br 0.500 0.500 0.500
Cu 0.250 0.250 0.250
Pb 0.000 0.000 0.000

Calculated values
The calculation puts the raw total energy at -3.158 eV per atom. For the formation energy (no corrections), the calculation gives 243 meV per atom. For the density of states at the Fermi level, the calculation gives 0.6 states/eV/cell.


LaTiAlPbO6 after structural relaxation. Source: the Alexandria database, functional GGA-PBEsol.

a b c (Å): 5.440 5.440 5.440
angles (deg): 60.00 60.00 60.00
Fractional coordinates of all 10 atoms:
La 0.500 0.500 0.500
Ti 0.750 0.750 0.750
Al 0.250 0.250 0.250
Pb 0.000 0.000 0.000
O 0.003 0.497 0.003
O 0.497 0.003 0.497
O 0.497 0.003 0.003
O 0.003 0.497 0.497
O 0.003 0.003 0.497
O 0.497 0.497 0.003

Calculated values
The calculation puts the raw total energy at -8.156 eV per atom. For the formation energy (no corrections), the calculation gives -2831 meV per atom. For the density of states at the Fermi level, the calculation gives 0.0 states/eV/cell.


CuTeBr after structural relaxation. Source: the Alexandria database, functional GGA-PBEsol.

a b c (Å): 5.017 11.467 11.473
angles (deg): 87.26 77.37 77.36
Fractional coordinates of all 24 atoms:
Te 0.533 0.114 0.608
Te 0.256 0.886 0.392
Te 0.398 0.386 0.108
Te 0.352 0.114 0.392
Te 0.217 0.386 0.892
Te 0.494 0.614 0.108
Te 0.858 0.886 0.608
Te 0.892 0.614 0.892
Br 0.383 0.868 0.866
Br 0.116 0.132 0.134
Br 0.752 0.132 0.866
Br 0.634 0.368 0.366
Br 0.001 0.632 0.366
Br 0.749 0.868 0.134
Br 0.998 0.368 0.634
Br 0.367 0.632 0.634
Cu 0.000 0.000 0.000
Cu 0.500 0.000 0.000
Cu 0.865 0.271 0.000
Cu 0.615 0.771 0.500
Cu 0.250 0.500 0.500
Cu 0.135 0.729 0.000
Cu 0.750 0.500 0.500
Cu 0.885 0.229 0.500

Calculated values
The calculation puts the raw total energy at -3.426 eV per atom. For the formation energy (no corrections), the calculation gives -182 meV per atom.


Ho2MgGe2 after structural relaxation. Source: the Alexandria database, functional GGA-PBEsol.

a b c (Å): 4.157 7.160 7.160
angles (deg): 90.00 90.00 90.00
Fractional coordinates of all 10 atoms:
Ho 0.500 0.677 0.177
Ho 0.500 0.323 0.823
Ho 0.500 0.177 0.323
Ho 0.500 0.823 0.677
Mg 0.000 0.500 0.500
Mg 0.000 0.000 0.000
Ge 0.000 0.876 0.376
Ge 0.000 0.124 0.624
Ge 0.000 0.376 0.124
Ge 0.000 0.624 0.876

Calculated values
The value obtained for the formation energy is -18.9 kcal/mol of atoms. The calculation puts the raw total energy at -5.120 eV per atom. For the density of states at the Fermi level, the calculation gives 3.1 states/eV/cell.


ReAu after structural relaxation. Source: the Alexandria database, functional GGA-PBEsol.

a b c (Å): 3.888 4.020 4.831
angles (deg): 114.59 113.73 90.00
Fractional coordinates of all 4 atoms:
Au 0.876 0.626 0.753
Au 0.124 0.374 0.247
Re 0.368 0.118 0.735
Re 0.632 0.882 0.265

Calculated values
The value obtained for the formation energy is 10.7 kcal/mol of atoms. The calculation puts the raw total energy at -8.162 eV per atom. For the density of states at the Fermi level, the calculation gives 2.6 states/eV/cell.


Tl2TePbW after structural relaxation. Source: the Alexandria database, functional GGA-PBEsol.

a b c (Å): 5.752 5.752 5.925
angles (deg): 90.00 90.00 90.00
Fractional coordinates of all 5 atoms:
Pb 0.000 0.000 0.500
Tl 0.000 0.500 0.000
Tl 0.500 0.000 0.000
Te 0.000 0.000 0.000
W 0.500 0.500 0.500

Calculated values
The calculation puts the raw total energy at -3.509 eV per atom. For the formation energy (no corrections), the calculation gives 1810 meV per atom. For the density of states at the Fermi level, the calculation gives 3.8 states/eV/cell.


CdHg after structural relaxation. Source: the Alexandria database, functional GGA-PBEsol.

a b c (Å): 3.170 5.972 7.608
angles (deg): 110.23 90.00 105.39
Fractional coordinates of all 6 atoms:
Hg 0.329 0.658 0.673
Hg 0.956 0.911 0.382
Hg 0.271 0.541 0.051
Cd 0.998 0.995 0.005
Cd 0.603 0.205 0.720
Cd 0.678 0.356 0.335

Calculated values
The value obtained for the formation energy is 0.0 kcal/mol of atoms. The calculation puts the raw total energy at -0.881 eV per atom. For the density of states at the Fermi level, the calculation gives 1.7 states/eV/cell.


MgMn2P after structural relaxation. Source: the Alexandria database, functional GGA-PBEsol.

a b c (Å): 3.711 3.711 4.463
angles (deg): 114.56 114.56 90.00
Fractional coordinates of all 4 atoms:
Mg 0.000 0.000 0.000
Mn 0.750 0.250 0.500
Mn 0.250 0.750 0.500
P 0.500 0.500 0.000

Calculated values
The value obtained for the formation energy is 1.2 kcal/mol of atoms. The calculation puts the raw total energy at -6.705 eV per atom. For the density of states at the Fermi level, the calculation gives 2.2 states/eV/cell.


Number 1: volume 16.4 Å³ per atom. Number 2: volume 10.6 Å³ per atom. Number 3: volume 19.0 Å³ per atom. Number 4: volume 18.5 Å³ per atom. Number 5: volume 25.0 Å³ per atom. Number 6: volume 11.4 Å³ per atom. Number 7: volume 26.2 Å³ per atom. Number 8: volume 21.3 Å³ per atom. Number 9: volume 15.4 Å³ per atom. Number 10: volume 39.2 Å³ per atom. Number 11: volume 21.6 Å³ per atom. Number 12: volume 12.4 Å³ per atom.